1.
DFT (PBE-GGA) results for a geometry-optimized KSmMnTe3 structure.

Properties
* raw formation energy: -971 meV/atom

Geometry as POSCAR:
```
KSmMnTe3
1.0
-3.440 -2.928 -0.206
2.033 -1.729 -9.368
5.514 -6.879 5.674
K Sm Mn Te
2 2 2 6
Direct
0.750 0.796 0.765 K
0.250 0.204 0.235 K
0.250 0.670 0.141 Sm
0.750 0.330 0.859 Sm
0.250 0.084 0.605 Mn
0.750 0.916 0.395 Mn
0.250 0.790 0.468 Te
0.750 0.897 0.136 Te
0.750 0.458 0.168 Te
0.750 0.210 0.532 Te
0.250 0.542 0.832 Te
0.250 0.103 0.864 Te
```

---

2.
DFT (PBE-GGA) results for a geometry-optimized KSm2MnTe4 structure.

Properties
* raw formation energy: -1097 meV/atom

Geometry as POSCAR:
```
KSm2MnTe4
1.0
4.446 0.000 0.000
-2.223 7.666 0.000
0.000 0.000 15.695
K Sm Mn Te
2 4 2 8
Direct
0.113 0.226 0.750 K
0.887 0.774 0.250 K
0.368 0.735 0.562 Sm
0.632 0.265 0.062 Sm
0.632 0.265 0.438 Sm
0.368 0.735 0.938 Sm
0.837 0.674 0.750 Mn
0.163 0.326 0.250 Mn
0.269 0.538 0.114 Te
0.731 0.462 0.614 Te
0.731 0.462 0.886 Te
0.269 0.538 0.386 Te
0.000 0.000 0.500 Te
0.000 0.000 0.000 Te
0.439 0.878 0.750 Te
0.561 0.122 0.250 Te
```

---

3.
DFT (PBE-GGA) results for a geometry-optimized K2SmMnTe4 structure.

Properties
* raw formation energy: -896 meV/atom

Geometry as POSCAR:
```
K2SmMnTe4
1.0
4.405 0.000 0.000
0.000 7.576 0.126
0.000 -2.675 8.211
K Sm Mn Te
2 1 1 4
Direct
0.500 0.000 0.500 K
0.000 0.500 0.500 K
0.000 0.000 0.000 Sm
0.500 0.500 0.000 Mn
0.500 0.259 0.204 Te
0.500 0.741 0.796 Te
0.000 0.291 0.808 Te
0.000 0.709 0.192 Te
```

---

4.
DFT (PBE-GGA) results for a geometry-optimized K3MnSn structure.

Properties
* energy relative to the elements: 675 meV/atom

Geometry as POSCAR:
```
K3MnSn
1.0
-5.189 -3.667 -2.357
4.115 -5.329 -0.768
-1.438 -2.019 6.307
K Mn Sn
3 1 1
Direct
0.000 0.500 0.000 K
0.000 0.000 0.500 K
0.500 0.000 0.000 K
0.500 0.500 0.500 Mn
0.000 0.000 0.000 Sn
```

---

5.
DFT (PBE-GGA) results for a geometry-optimized KMn2Sn structure.

Properties
* energy relative to the elements: 835 meV/atom

Geometry as POSCAR:
```
KMn2Sn
1.0
6.306 0.000 0.000
0.000 6.306 0.000
3.153 3.153 9.446
K Mn Sn
2 4 2
Direct
0.500 0.500 0.000 K
0.250 0.750 0.500 K
0.875 0.125 0.250 Mn
0.875 0.625 0.250 Mn
0.375 0.125 0.750 Mn
0.875 0.125 0.750 Mn
0.000 0.000 0.000 Sn
0.750 0.250 0.500 Sn
```

---

6.
DFT (PBE-GGA) results for a geometry-optimized KMn2Sn structure.

Properties
* energy relative to the elements: 691 meV/atom

Geometry as POSCAR:
```
KMn2Sn
1.0
0.000 3.559 3.559
3.559 0.000 3.559
3.559 3.559 0.000
K Mn Sn
1 2 1
Direct
0.000 0.000 0.000 K
0.250 0.250 0.250 Mn
0.750 0.750 0.750 Mn
0.500 0.500 0.500 Sn
```

---

7.
DFT (PBE-GGA) results for a geometry-optimized KMnSn3 structure.

Properties
* energy relative to the elements: 1468 meV/atom

Geometry as POSCAR:
```
KMnSn3
1.0
-0.473 -4.658 3.606
3.914 2.456 3.685
-4.403 2.683 2.888
K Mn Sn
1 1 3
Direct
0.000 0.000 0.000 K
0.500 0.500 0.500 Mn
0.000 0.500 0.000 Sn
0.000 0.000 0.500 Sn
0.500 0.000 0.000 Sn
```

---

8.
DFT (PBE-GGA) results for a geometry-optimized KMnSn3 structure.

Properties
* energy relative to the elements: 120 meV/atom

Geometry as POSCAR:
```
KMnSn3
1.0
-3.725 1.212 -3.191
-0.312 -4.825 -1.467
-3.399 -0.884 3.632
K Mn Sn
1 1 3
Direct
0.500 0.500 0.500 K
0.000 0.000 0.000 Mn
0.000 0.500 0.000 Sn
0.000 0.000 0.500 Sn
0.500 0.000 0.000 Sn
```

---

| no. | total magnetization (μB per formula unit) | total energy (eV per formula unit) |
| --- | --- | --- |
| 1 | 5.01 | -30.24 |
| 2 | 4.18 | -41.05 |
| 3 | 4.03 | -35.82 |
| 4 | 6.00 | -13.09 |
| 5 | 8.96 | -20.10 |
| 6 | 8.62 | -20.67 |
| 7 | 4.57 | -14.93 |
| 8 | 0.00 | -21.67 |